Entry 1
{"formula": "Ba2Cu3O6", "functional": "PBE-GGA", "state": "relaxed", "dos_at_fermi_per_ev_cell": 19.56, "lattice": [[-6.046, 3.415, 3.001], [1.521, -3.712, 7.287], [5.512, 11.394, -1.862]], "species": ["O", "O", "O", "O", "O", "O", "O", "O", "O", "O", "O", "O", "O", "O", "O", "O", "O", "O", "O", "O", "O", "O", "O", "O", "Ba", "Ba", "Ba", "Ba", "Ba", "Ba", "Ba", "Ba", "Cu", "Cu", "Cu", "Cu", "Cu", "Cu", "Cu", "Cu", "Cu", "Cu", "Cu", "Cu"], "fractional_positions": [[0.749, 0.574, 0.609], [0.234, 0.908, 0.111], [0.251, 0.574, 0.609], [0.236, 0.089, 0.388], [0.749, 0.426, 0.391], [0.730, 0.578, 0.112], [0.754, 0.242, 0.110], [0.270, 0.578, 0.112], [0.270, 0.422, 0.888], [0.246, 0.758, 0.890], [0.730, 0.422, 0.888], [0.766, 0.908, 0.111], [0.754, 0.758, 0.890], [0.251, 0.426, 0.391], [0.263, 0.243, 0.612], [0.737, 0.757, 0.388], [0.764, 0.089, 0.388], [0.737, 0.243, 0.612], [0.766, 0.092, 0.889], [0.263, 0.757, 0.388], [0.236, 0.911, 0.612], [0.234, 0.092, 0.889], [0.764, 0.911, 0.612], [0.246, 0.242, 0.110], [0.000, 0.207, 0.250], [0.000, 0.793, 0.750], [0.500, 0.100, 0.753], [0.000, 0.237, 0.750], [0.500, 0.542, 0.749], [0.000, 0.763, 0.250], [0.500, 0.900, 0.247], [0.500, 0.458, 0.251], [0.755, 0.000, 0.000], [0.748, 0.665, 0.999], [0.245, 0.000, 0.000], [0.750, 0.000, 0.500], [0.252, 0.665, 0.999], [0.750, 0.668, 0.500], [0.750, 0.332, 0.500], [0.250, 0.668, 0.500], [0.748, 0.335, 0.001], [0.250, 0.332, 0.500], [0.252, 0.335, 0.001], [0.250, 0.000, 0.500]]}


Entry 2
{"formula": "Ba2Cu3O6", "functional": "PBE-GGA", "state": "relaxed", "dos_at_fermi_per_ev_cell": 11.70, "lattice": [[9.308, 0.007, -0.006], [5.860, 6.144, 0.006], [3.448, -0.446, 6.121]], "species": ["O", "O", "O", "O", "O", "O", "O", "O", "O", "O", "O", "O", "Cu", "Cu", "Cu", "Cu", "Cu", "Cu", "Ba", "Ba", "Ba", "Ba"], "fractional_positions": [[0.739, 0.080, 0.488], [0.701, 0.933, 0.067], [0.307, 0.512, 0.920], [0.488, 0.693, 0.739], [0.067, 0.299, 0.701], [0.080, 0.739, 0.693], [0.920, 0.261, 0.307], [0.933, 0.701, 0.299], [0.299, 0.067, 0.933], [0.261, 0.920, 0.512], [0.512, 0.307, 0.261], [0.693, 0.488, 0.080], [0.299, 0.996, 0.701], [0.004, 0.701, 0.996], [0.693, 0.307, 0.307], [0.307, 0.693, 0.693], [0.996, 0.299, 0.004], [0.701, 0.004, 0.299], [0.250, 0.250, 0.250], [0.234, 0.766, 0.234], [0.750, 0.750, 0.750], [0.766, 0.234, 0.766]]}


Entry 3
{"formula": "Ba2Cu3O6", "functional": "PBE-GGA", "state": "relaxed", "dos_at_fermi_per_ev_cell": 5.73, "lattice": [[-3.350, 2.475, 0.956], [-1.751, -3.840, -0.670], [1.260, -2.552, 11.152]], "species": ["Cu", "Cu", "Cu", "O", "O", "O", "O", "O", "O", "Ba", "Ba"], "fractional_positions": [[0.703, 0.297, 0.500], [0.232, 0.768, 0.500], [0.362, 0.638, 0.000], [0.968, 0.532, 0.390], [0.362, 0.646, 0.151], [0.354, 0.638, 0.849], [0.470, 0.034, 0.390], [0.966, 0.530, 0.610], [0.468, 0.032, 0.610], [0.976, 0.029, 0.241], [0.971, 0.024, 0.759]]}


It turns out entry 1 is the most stable, with the second structure 6.4 kJ/mol of atoms higher.